Below is a relaxed structure of Pr2Y5Tm6, with properties calculated at the PBE level.

Cell and atoms, written as CIF:
```
data_Pr2Y5Tm6
_chemical_formula_sum 'Pr4 Y10 Tm12'
_space_group_name_H-M_alt 'P 1'
_space_group_IT_number 1
_cell_length_a 3.575
_cell_length_b 11.649
_cell_length_c 20.241
_cell_angle_alpha 90.00
_cell_angle_beta 90.00
_cell_angle_gamma 90.00
loop_
_space_group_symop_operation_xyz
'x,y,z'
loop_
_atom_site_label
_atom_site_type_symbol
_atom_site_fract_x
_atom_site_fract_y
_atom_site_fract_z
Pr1 Pr 0.000 0.332 0.282
Pr2 Pr 0.000 0.668 0.718
Pr3 Pr 0.000 0.832 0.218
Pr4 Pr 0.000 0.168 0.782
Y1 Y 0.500 0.300 0.447
Y2 Y 0.500 0.700 0.553
Y3 Y 0.500 0.800 0.053
Y4 Y 0.500 0.200 0.947
Y5 Y 0.500 0.592 0.281
Y6 Y 0.500 0.408 0.719
Y7 Y 0.500 0.092 0.219
Y8 Y 0.500 0.908 0.781
Y9 Y 0.500 0.500 0.000
Y10 Y 0.500 0.000 0.500
Tm1 Tm 0.000 0.076 0.364
Tm2 Tm 0.000 0.924 0.636
Tm3 Tm 0.000 0.576 0.136
Tm4 Tm 0.000 0.424 0.864
Tm5 Tm 0.500 0.320 0.125
Tm6 Tm 0.500 0.680 0.875
Tm7 Tm 0.500 0.820 0.375
Tm8 Tm 0.500 0.180 0.625
Tm9 Tm 0.000 0.562 0.424
Tm10 Tm 0.000 0.438 0.576
Tm11 Tm 0.000 0.062 0.076
Tm12 Tm 0.000 0.938 0.924
```

Summary:
Density, Mg/m³: 6.9
Fermi-level density of states, states/eV/cell: 37.28
Total magnetization, μB per cell: 0.0
VASP energy, eV per atom: -5.180
Volume, Å³ per atom: 32.4